# Mn7CdO12 | the Alexandria database | PBE+U | relaxed
data_Mn7CdO12
_chemical_formula_sum 'Mn14 Cd2 O24'
_cell_length_a 7.5048
_cell_length_b 7.5048
_cell_length_c 7.5048
_cell_angle_alpha 90.00
_cell_angle_beta 90.00
_cell_angle_gamma 90.00
_space_group_name_H-M_alt 'I m -3'
_space_group_IT_number 204
_space_group_name_Hall '-I 2 2 3'
loop_
_atom_site_label
_atom_site_type_symbol
_atom_site_fract_x
_atom_site_fract_y
_atom_site_fract_z
Mn1 Mn 0.0000 0.0000 0.5000
Mn2 Mn 0.2500 0.2500 0.2500
Cd1 Cd 0.0000 0.0000 0.0000
O1 O 0.0000 0.3098 0.1791
# Uncorrected energy = -7.107 eV per atom
# V = 10.57 Å³/atom
# Crystal system = cubic